1.
! Cd2BSb PBE-GGA optimized geometry; values from VASP
&SYSTEM
  ibrav = 0, nat = 4, ntyp = 3
/
ATOMIC_SPECIES
Sb 121.76 Sb.upf
B 10.81 B.upf
Cd 112.41 Cd.upf
CELL_PARAMETERS angstrom
0.000 3.496 3.496
3.496 0.000 3.496
3.496 3.496 0.000
ATOMIC_POSITIONS angstrom
Sb 3.496 3.496 3.496
B 0.000 0.000 0.000
Cd 1.748 1.748 1.748
Cd 5.245 5.245 5.245
! ΔE to the lowest computed polymorph, eV per atom: 0.282
! Formation energy from raw total energies, eV/f.u.: 4.0

2.
! DyTc2HgO8 PBE-GGA optimized geometry; values from VASP
&SYSTEM
  ibrav = 0, nat = 12, ntyp = 4
/
ATOMIC_SPECIES
Dy 162.50 Dy.upf
Tc 98.00 Tc.upf
Hg 200.59 Hg.upf
O 16.00 O.upf
CELL_PARAMETERS angstrom
-5.456 1.230 -2.625
0.264 -3.510 5.077
-0.740 6.726 4.688
ATOMIC_POSITIONS angstrom
Dy -0.370 3.363 2.344
Tc -3.755 1.521 1.247
Tc -2.177 2.924 5.894
Hg 0.000 0.000 0.000
O -2.331 4.326 6.871
O -2.148 2.180 1.620
O -4.702 2.757 0.390
O -3.601 0.119 0.270
O -1.230 1.688 6.750
O -3.784 2.265 5.521
O -1.353 3.332 4.373
O -4.579 1.113 2.767
! Formation energy from raw total energies, eV/f.u.: -20.6

3.
! IrRuBr PBE-GGA optimized geometry; values from VASP
&SYSTEM
  ibrav = 0, nat = 3, ntyp = 3
/
ATOMIC_SPECIES
Ru 101.07 Ru.upf
Ir 192.22 Ir.upf
Br 79.90 Br.upf
CELL_PARAMETERS angstrom
-3.679 -3.218 4.126
-0.064 -5.194 3.733
2.649 5.319 -2.368
ATOMIC_POSITIONS angstrom
Ru -2.526 -5.676 5.303
Ir -1.147 -2.579 2.409
Br -0.070 -0.157 0.147
! ΔE to the lowest computed polymorph, eV per atom: 0.030
! Formation energy from raw total energies, eV/f.u.: 2.3

4.
! NdY6Er2 PBE-GGA optimized geometry; values from VASP
&SYSTEM
  ibrav = 0, nat = 18, ntyp = 3
/
ATOMIC_SPECIES
Nd 144.24 Nd.upf
Y 88.91 Y.upf
Er 167.26 Er.upf
CELL_PARAMETERS angstrom
5.044 0.000 0.226
0.000 10.707 0.000
-0.482 0.000 10.696
ATOMIC_POSITIONS angstrom
Nd 2.522 5.354 0.113
Nd -0.241 0.000 5.348
Y 4.963 10.702 2.012
Y 4.802 7.141 5.570
Y 4.642 7.144 9.134
Y 2.201 1.791 7.250
Y 2.522 1.788 0.118
Y 2.362 5.349 3.675
Y -0.401 0.005 8.910
Y -0.240 3.566 5.353
Y -0.080 3.563 1.788
Y 2.361 8.916 3.673
Y 2.040 8.919 10.805
Y 2.200 5.358 7.248
Er 4.642 3.565 9.136
Er 2.201 8.919 7.248
Er 2.361 1.789 3.675
Er -0.080 7.142 1.786
! ΔE to the lowest computed polymorph, eV per atom: 0.000
! Formation enthalpy at 0 K, eV per formula unit: 0.21

5.
! K2RbHgSb PBE-GGA optimized geometry; values from VASP
&SYSTEM
  ibrav = 0, nat = 5, ntyp = 4
/
ATOMIC_SPECIES
Sb 121.76 Sb.upf
K 39.10 K.upf
Hg 200.59 Hg.upf
Rb 85.47 Rb.upf
CELL_PARAMETERS angstrom
-2.980 -4.282 4.338
5.438 0.314 4.045
-2.890 5.513 3.457
ATOMIC_POSITIONS angstrom
Sb 0.000 0.000 0.000
K 2.719 0.157 2.023
K -1.490 -2.141 2.169
Hg -0.216 0.773 5.920
Rb -1.445 2.757 1.728
! Formation energy from raw total energies, eV/f.u.: -1.1

6.
! KZr2Te PBE-GGA optimized geometry; values from VASP
&SYSTEM
  ibrav = 0, nat = 4, ntyp = 3
/
ATOMIC_SPECIES
K 39.10 K.upf
Te 127.60 Te.upf
Zr 91.22 Zr.upf
CELL_PARAMETERS angstrom
-1.171 4.219 2.342
0.636 -1.524 3.063
7.541 1.499 1.069
ATOMIC_POSITIONS angstrom
K 1.459 2.103 2.204
Te 5.547 2.091 4.270
Zr 7.410 -0.086 3.860
Zr 4.855 0.049 2.339
! Formation energy from raw total energies, eV/f.u.: 1.1

7.
! Sr2In6Ir PBE-GGA optimized geometry; values from VASP
&SYSTEM
  ibrav = 0, nat = 9, ntyp = 3
/
ATOMIC_SPECIES
Sr 87.62 Sr.upf
In 114.82 In.upf
Ir 192.22 Ir.upf
CELL_PARAMETERS angstrom
-5.499 1.952 -1.943
-1.141 -5.985 -2.780
-2.971 -4.834 3.557
ATOMIC_POSITIONS angstrom
Sr -7.239 -5.623 -1.070
Sr -2.372 -3.243 -0.096
In -4.543 -5.453 1.402
In -5.096 -8.363 0.046
In -3.651 -6.014 -1.687
In -5.067 -3.414 -2.568
In -4.515 -0.504 -1.213
In -5.960 -2.853 0.521
Ir 0.000 0.000 0.000
! Formation enthalpy at 0 K, eV per formula unit: -2.96

8.
! HfTl2Se PBE-GGA optimized geometry; values from VASP
&SYSTEM
  ibrav = 0, nat = 4, ntyp = 3
/
ATOMIC_SPECIES
Tl 204.38 Tl.upf
Hf 178.49 Hf.upf
Se 78.96 Se.upf
CELL_PARAMETERS angstrom
4.641 2.403 -0.388
0.841 4.502 2.548
3.243 0.116 4.115
ATOMIC_POSITIONS angstrom
Tl 2.181 1.755 1.569
Tl 6.544 5.265 4.706
Hf 4.362 3.510 3.137
Se 0.000 0.000 0.000
! ΔE to the lowest computed polymorph, eV per atom: 0.392
! Formation energy from raw total energies, eV/f.u.: 1.8

> What is the formula in the seventh record?

Sr2In6Ir